# 1
TaAu2Cl | GGA-PBE | optimized geometry

Properties
- size of the total moment (μB per formula unit) = 0.0
- uncorrected energy (eV per atom) = -4.699
- crystal system = tetragonal

Lattice parameters (Å, degrees): 4.6488 4.6488 4.6488 119.96 119.96 90.07
Element x y z (fractional)
Au 0.0000 0.0000 0.0000
Au 0.2500 0.7500 0.5000
Cl 0.5000 0.5000 0.0000
Ta 0.7500 0.2500 0.5000


# 2
TaAu2Cl | GGA-PBE | optimized geometry

Properties
- size of the total moment (μB per formula unit) = 0.0
- uncorrected energy (eV per atom) = -5.161
- crystal system = tetragonal

Lattice parameters (Å, degrees): 2.9680 2.9680 9.1983 90.00 90.00 90.00
Element x y z (fractional)
Au 0.0000 0.0000 0.9676
Au 0.5000 0.5000 0.1959
Cl 0.0000 0.0000 0.5793
Ta 0.5000 0.5000 0.7572


# 3
TaAuCl2 | GGA-PBE | optimized geometry

Properties
- size of the total moment (μB per formula unit) = 0.0
- uncorrected energy (eV per atom) = -5.252
- crystal system = monoclinic

Lattice parameters (Å, degrees): 3.0319 4.8212 7.6767 71.87 90.00 90.00
Element x y z (fractional)
Cl 0.0000 0.1049 0.9184
Cl 0.5000 0.3952 0.3314
Au 0.5000 0.7401 0.6451
Ta 0.0000 0.2598 0.6051


# 4
TaAuCl2 | GGA-PBE | optimized geometry

Properties
- size of the total moment (μB per formula unit) = 0.0
- uncorrected energy (eV per atom) = -4.953
- crystal system = orthorhombic

Lattice parameters (Å, degrees): 3.1947 3.1947 11.4337 90.00 90.00 125.62
Element x y z (fractional)
Cl 0.0000 0.0000 0.0750
Cl 0.0000 0.0000 0.4250
Au 0.5000 0.5000 0.7500
Ta 0.5000 0.5000 0.2500


# 5
TaAuCl | GGA-PBE | optimized geometry

Properties
- size of the total moment (μB per formula unit) = 0.0
- uncorrected energy (eV per atom) = -5.771
- crystal system = tetragonal

Lattice parameters (Å, degrees): 7.4220 7.4220 7.4220 156.58 156.58 33.36
Element x y z (fractional)
Au 0.0431 0.0431 0.0000
Cl 0.2854 0.2854 0.0000
Ta 0.6715 0.6715 0.0000


# 6
TaAu2Cl | GGA-PBE | optimized geometry

Properties
- size of the total moment (μB per formula unit) = 0.0
- uncorrected energy (eV per atom) = -4.923
- crystal system = orthorhombic

Lattice parameters (Å, degrees): 6.7624 6.7624 6.7624 155.59 141.08 46.47
Element x y z (fractional)
Au 0.9470 0.9470 0.0000
Au 0.5530 0.5530 0.0000
Cl 0.2500 0.7500 0.5000
Ta 0.7500 0.2500 0.5000


# 7
TaAuCl4 | GGA-PBE | optimized geometry

Properties
- size of the total moment (μB per formula unit) = 0.6
- uncorrected energy (eV per atom) = -2.643
- crystal system = cubic

Lattice parameters (Å, degrees): 5.5643 5.5643 5.5643 60.00 60.00 60.00
Element x y z (fractional)
Ta 0.7500 0.7500 0.7500
Au 0.0000 0.0000 0.0000
Cl 0.8739 0.3754 0.3754
Cl 0.3754 0.3754 0.8739
Cl 0.3754 0.8739 0.3754
Cl 0.3754 0.3754 0.3754


# 8
TaAu2Cl | GGA-PBE | optimized geometry

Properties
- size of the total moment (μB per formula unit) = 0.0
- uncorrected energy (eV per atom) = -5.097
- crystal system = monoclinic

Lattice parameters (Å, degrees): 3.0952 3.0387 8.2199 89.81 90.00 90.00
Element x y z (fractional)
Au 0.0000 0.2480 0.9769
Au 0.0000 0.2520 0.5231
Cl 0.5000 0.2500 0.2500
Ta 0.5000 0.7500 0.7500


# 9
TaAu2Cl | GGA-PBE | optimized geometry

Properties
- size of the total moment (μB per formula unit) = 0.0
- uncorrected energy (eV per atom) = -4.720
- crystal system = orthorhombic

Lattice parameters (Å, degrees): 2.9332 4.6664 5.3797 90.00 90.00 90.00
Element x y z (fractional)
Au 0.0000 0.0000 0.0000
Au 0.5000 0.5000 0.0000
Cl 0.5000 0.0000 0.5000
Ta 0.0000 0.5000 0.5000


# 10
TaAuCl2 | GGA-PBE | optimized geometry

Properties
- size of the total moment (μB per formula unit) = 0.1
- uncorrected energy (eV per atom) = -4.946
- crystal system = tetragonal

Lattice parameters (Å, degrees): 3.0913 3.0913 8.3633 90.00 90.00 90.04
Element x y z (fractional)
Cl 0.0000 0.0000 0.9405
Cl 0.5000 0.5000 0.3209
Au 0.5000 0.5000 0.7285
Ta 0.0000 0.0000 0.5101


# 11
TaAuCl2 | GGA-PBE | optimized geometry

Properties
- size of the total moment (μB per formula unit) = 1.9
- uncorrected energy (eV per atom) = -4.026
- crystal system = tetragonal

Lattice parameters (Å, degrees): 4.8541 4.8541 3.1769 90.00 90.00 90.00
Element x y z (fractional)
Cl 0.0000 0.0000 0.0000
Cl 0.5000 0.5000 0.0000
Au 0.0000 0.5000 0.5000
Ta 0.5000 0.0000 0.5000


# 12
TaAuCl2 | GGA-PBE | optimized geometry

Properties
- size of the total moment (μB per formula unit) = 0.0
- uncorrected energy (eV per atom) = -4.638
- crystal system = monoclinic

Lattice parameters (Å, degrees): 4.3847 3.1048 5.5287 87.53 90.00 90.00
Element x y z (fractional)
Cl 0.0000 0.1061 0.0216
Cl 0.0000 0.3939 0.4784
Au 0.5000 0.7500 0.7500
Ta 0.5000 0.2500 0.2500


# 13
TaAuCl2 | GGA-PBE | optimized geometry

Properties
- size of the total moment (μB per formula unit) = 0.0
- uncorrected energy (eV per atom) = -5.239
- crystal system = orthorhombic

Lattice parameters (Å, degrees): 7.4684 7.4684 5.0208 70.38 70.38 22.77
Element x y z (fractional)
Cl 0.1034 0.1034 0.8967
Cl 0.3966 0.3966 0.6033
Au 0.2500 0.2500 0.2500
Ta 0.7500 0.7500 0.7500


# 14
ZrTaAuCl2 | GGA-PBE | optimized geometry

Properties
- size of the total moment (μB per formula unit) = 0.0
- uncorrected energy (eV per atom) = -5.275
- crystal system = tetragonal

Lattice parameters (Å, degrees): 4.6187 5.8417 4.6187 90.00 90.00 90.00
Element x y z (fractional)
Cl 0.0000 0.0000 0.5000
Cl 0.5000 0.0000 0.0000
Au 0.5000 0.5000 0.5000
Zr 0.0000 0.5000 0.0000
Ta 0.0000 0.0000 0.0000


# 15
TbAuCl6 | GGA-PBE | optimized geometry

Properties
- size of the total moment (μB per formula unit) = 0.0
- uncorrected energy (eV per atom) = -3.539
- crystal system = triclinic

Lattice parameters (Å, degrees): 7.6767 8.1748 6.9720 60.21 59.91 42.17
Element x y z (fractional)
Tb 0.5000 0.5000 0.5000
Au 0.0000 0.0000 0.0000
Cl 0.1188 0.5017 0.6794
Cl 0.7212 0.0875 0.8475
Cl 0.6264 0.1997 0.2926
Cl 0.2788 0.9125 0.1525
Cl 0.8812 0.4983 0.3206
Cl 0.3736 0.8003 0.7074


# 16
TbAuCl | GGA-PBE | optimized geometry

Properties
- size of the total moment (μB per formula unit) = 0.0
- uncorrected energy (eV per atom) = -4.526
- crystal system = monoclinic

Lattice parameters (Å, degrees): 5.4560 8.5226 8.5210 60.01 72.75 72.74
Element x y z (fractional)
Cl 0.2217 0.6430 0.8930
Cl 0.7783 0.8570 0.6069
Cl 0.7783 0.3570 0.1070
Cl 0.2217 0.1430 0.3931
Tb 0.0320 0.4854 0.7353
Tb 0.0320 0.9854 0.2353
Tb 0.9680 0.5146 0.2647
Tb 0.9680 0.0146 0.7647
Au 0.6583 0.3843 0.6344
Au 0.6583 0.8843 0.1344
Au 0.3417 0.6157 0.3656
Au 0.3417 0.1157 0.8656


# 17
Tb3TeAuCl | GGA-PBE | optimized geometry

Properties
- size of the total moment (μB per formula unit) = 0.0
- uncorrected energy (eV per atom) = -4.813
- crystal system = monoclinic

Lattice parameters (Å, degrees): 4.0776 8.8309 9.7143 98.03 90.00 90.00
Element x y z (fractional)
Tb 0.7500 0.8342 0.1239
Tb 0.2500 0.1658 0.8761
Tb 0.2500 0.6491 0.4227
Tb 0.7500 0.3509 0.5773
Tb 0.7500 0.3684 0.1909
Tb 0.2500 0.6316 0.8091
Te 0.2500 0.1025 0.1882
Te 0.7500 0.8975 0.8118
Au 0.2500 0.5846 0.1108
Au 0.7500 0.4154 0.8892
Cl 0.2500 0.1444 0.5866
Cl 0.7500 0.8556 0.4134


# 18
TcAuCl3 | GGA-PBE | optimized geometry

Properties
- size of the total moment (μB per formula unit) = 4.7
- uncorrected energy (eV per atom) = -3.193
- crystal system = cubic

Lattice parameters (Å, degrees): 5.0741 5.0741 5.0741 90.00 90.00 90.00
Element x y z (fractional)
Au 0.0000 0.0000 0.0000
Tc 0.5000 0.5000 0.5000
Cl 0.0000 0.5000 0.0000
Cl 0.0000 0.0000 0.5000
Cl 0.5000 0.0000 0.0000


# 19
TcAu2Cl | GGA-PBE | optimized geometry

Properties
- size of the total moment (μB per formula unit) = 1.0
- uncorrected energy (eV per atom) = -4.415
- crystal system = orthorhombic

Lattice parameters (Å, degrees): 2.9421 2.9421 10.3220 90.00 90.00 120.81
Element x y z (fractional)
Au 0.0000 0.0000 0.9743
Au 0.5000 0.5000 0.2205
Cl 0.0000 0.0000 0.5618
Tc 0.5000 0.5000 0.7434


# 20
TcAuCl2 | GGA-PBE | optimized geometry

Properties
- size of the total moment (μB per formula unit) = 1.1
- uncorrected energy (eV per atom) = -4.383
- crystal system = orthorhombic

Lattice parameters (Å, degrees): 7.2571 7.2571 4.9310 70.17 70.17 23.19
Element x y z (fractional)
Au 0.2500 0.2500 0.2500
Tc 0.7500 0.7500 0.7500
Cl 0.1054 0.1054 0.8944
Cl 0.3946 0.3946 0.6056


| no. | ΔE_f (raw) (eV per atom) |
| --- | --- |
| 1 | 0.364 |
| 2 | -0.098 |
| 3 | -0.546 |
| 4 | -0.247 |
| 5 | -0.112 |
| 6 | 0.141 |
| 7 | 1.110 |
| 8 | -0.034 |
| 9 | 0.343 |
| 10 | -0.240 |
| 11 | 0.680 |
| 12 | 0.068 |
| 13 | -0.533 |
| 14 | 0.200 |
| 15 | -1.166 |
| 16 | -1.275 |
| 17 | -1.121 |
| 18 | 0.644 |
| 19 | 0.277 |
| 20 | -0.049 |